No. 1
AcPmAgP: optimized geometry, GGA-PBE.

- ΔE_f: -542 meV/atom
- D(E_F): 4.01 states/eV/f.u.

Cell lengths 5.2889, 5.2889, 5.2889 Å; angles 60.00, 60.00, 60.00 degrees
Element x y z (fractional)
P (0.7500, 0.7500, 0.7500)
Ac (0.0000, 0.0000, 0.0000)
Ag (0.2500, 0.2500, 0.2500)
Pm (0.5000, 0.5000, 0.5000)

---

No. 2
Ac2AgP3Pt12: optimized geometry, GGA-PBE.

- ΔE_f: -386 meV/atom
- D(E_F): 5.57 states/eV/f.u.

Cell lengths 7.8044, 7.8044, 7.8044 Å; angles 64.67, 64.67, 64.67 degrees
Element x y z (fractional)
Ac (0.6128, 0.6128, 0.6128)
Ac (0.3872, 0.3872, 0.3872)
Ag (0.0000, 0.0000, 0.0000)
P (0.5000, 0.0000, 0.0000)
P (0.0000, 0.5000, 0.0000)
P (0.0000, 0.0000, 0.5000)
Pt (0.3379, 0.3379, 0.8999)
Pt (0.8745, 0.8745, 0.3813)
Pt (0.3813, 0.8745, 0.8745)
Pt (0.8999, 0.3379, 0.3379)
Pt (0.8745, 0.3813, 0.8745)
Pt (0.3379, 0.8999, 0.3379)
Pt (0.6621, 0.6621, 0.1001)
Pt (0.1255, 0.1255, 0.6187)
Pt (0.6187, 0.1255, 0.1255)
Pt (0.1001, 0.6621, 0.6621)
Pt (0.1255, 0.6187, 0.1255)
Pt (0.6621, 0.1001, 0.6621)

---

No. 3
AcAgP2Pt7: optimized geometry, GGA-PBE.

- ΔE_f: -163 meV/atom
- D(E_F): 4.48 states/eV/f.u.

Cell lengths 4.1028, 4.1028, 15.0766 Å; angles 97.82, 97.82, 90.00 degrees
Element x y z (fractional)
Ac (0.5000, 0.5000, 0.0000)
Ag (0.2500, 0.7500, 0.5000)
P (0.8779, 0.8779, 0.7559)
P (0.1221, 0.1221, 0.2441)
Pt (0.0820, 0.5820, 0.1639)
Pt (0.0000, 0.0000, 0.0000)
Pt (0.4180, 0.9180, 0.8361)
Pt (0.8056, 0.8056, 0.6112)
Pt (0.5816, 0.0816, 0.1632)
Pt (0.1944, 0.1944, 0.3888)
Pt (0.9184, 0.4184, 0.8368)

---

No. 4
Ac2AgP3Pt4: optimized geometry, GGA-PBE.

- ΔE_f: -837 meV/atom
- D(E_F): 5.53 states/eV/f.u.

Cell lengths 4.3763, 4.3763, 10.3325 Å; angles 90.00, 90.00, 90.00 degrees
Element x y z (fractional)
Ac (0.5000, 0.0000, 0.2481)
Ac (0.0000, 0.5000, 0.7519)
Ag (0.5000, 0.5000, 0.5000)
P (0.0000, 0.0000, 0.5000)
P (0.5000, 0.0000, 0.8786)
P (0.0000, 0.5000, 0.1214)
Pt (0.5000, 0.5000, 0.0000)
Pt (0.0000, 0.0000, 0.0000)
Pt (0.5000, 0.0000, 0.6518)
Pt (0.0000, 0.5000, 0.3482)

---

No. 5
AcAgSbP: optimized geometry, GGA-PBE.

- Total DFT energy (no corrections): -17.71 eV per cell
- D(E_F): 3.43 states/eV/f.u.

Cell lengths 5.2145, 5.2145, 5.2145 Å; angles 60.00, 60.00, 60.00 degrees
Element x y z (fractional)
Sb (0.5000, 0.5000, 0.5000)
Ac (0.0000, 0.0000, 0.0000)
Ag (0.2500, 0.2500, 0.2500)
P (0.7500, 0.7500, 0.7500)

---

No. 6
AcAgP2Se8: optimized geometry, GGA-PBE.

- Total DFT energy (no corrections): -49.39 eV per cell
- D(E_F): 3.58 states/eV/f.u.

Cell lengths 6.6753, 6.6753, 9.9291 Å; angles 90.00, 90.00, 120.00 degrees
Element x y z (fractional)
Ac (0.0000, 0.0000, 0.5000)
Ag (0.0000, 0.0000, 0.0000)
P (0.3333, 0.6667, 0.6910)
P (0.6667, 0.3333, 0.3090)
Se (0.1527, 0.3055, 0.7730)
Se (0.1527, 0.8473, 0.7730)
Se (0.6945, 0.8473, 0.7730)
Se (0.3055, 0.1527, 0.2270)
Se (0.6667, 0.3333, 0.5284)
Se (0.3333, 0.6667, 0.4716)
Se (0.8473, 0.6945, 0.2270)
Se (0.8473, 0.1527, 0.2270)